Co2Ni7 | GGA-PBE | relaxed

a b c (Å): 3.9516 3.9516 7.2688
angles (deg): 90.00 90.00 120.00
Sites, in units of the cell vectors:
1 Co 0.3333 0.6667 0.2257
2 Co 0.6667 0.3333 0.7743
3 Ni 0.0000 0.0000 0.0000
4 Ni 0.0000 0.0000 0.3323
5 Ni 0.0000 0.0000 0.6677
6 Ni 0.3333 0.6667 0.5582
7 Ni 0.3333 0.6667 0.8926
8 Ni 0.6667 0.3333 0.1074
9 Ni 0.6667 0.3333 0.4418

Results
For the energy of formation, the calculation gives 0.90 eV per formula unit. The total energy is -52.29 eV/cell.

---

Co4Ni | GGA-PBE | relaxed

a b c (Å): 8.5653 8.5653 4.4741
angles (deg): 90.00 90.00 90.00
Sites, in units of the cell vectors:
1 Co 0.0366 0.3684 0.0000
2 Co 0.0662 0.2633 0.5000
3 Co 0.1316 0.5366 0.5000
4 Co 0.1830 0.8170 0.2493
5 Co 0.1830 0.8170 0.7507
6 Co 0.2367 0.5662 0.0000
7 Co 0.2633 0.0662 0.5000
8 Co 0.3170 0.3170 0.2507
9 Co 0.3170 0.3170 0.7493
10 Co 0.3684 0.0366 0.0000
11 Co 0.4338 0.7633 0.0000
12 Co 0.4634 0.8684 0.5000
13 Co 0.5366 0.1316 0.5000
14 Co 0.5662 0.2367 0.0000
15 Co 0.6316 0.9634 0.0000
16 Co 0.6830 0.6830 0.2507
17 Co 0.6830 0.6830 0.7493
18 Co 0.7367 0.9338 0.5000
19 Co 0.7633 0.4338 0.0000
20 Co 0.8170 0.1830 0.2493
21 Co 0.8170 0.1830 0.7507
22 Co 0.8684 0.4634 0.5000
23 Co 0.9338 0.7367 0.5000
24 Co 0.9634 0.6316 0.0000
25 Ni 0.0000 0.0000 0.5000
26 Ni 0.0991 0.0991 0.0000
27 Ni 0.4009 0.5991 0.5000
28 Ni 0.5000 0.5000 0.0000
29 Ni 0.5991 0.4009 0.5000
30 Ni 0.9009 0.9009 0.0000

Results
For the energy of formation, the calculation gives 0.38 eV per formula unit. The total energy is -201.71 eV/cell.

---

Co2Ni | GGA-PBE | relaxed

a b c (Å): 8.5589 8.5589 4.4838
angles (deg): 90.00 90.00 90.00
Sites, in units of the cell vectors:
1 Co 0.0689 0.2629 0.0000
2 Co 0.0968 0.0968 0.5000
3 Co 0.1813 0.8187 0.2504
4 Co 0.1813 0.8187 0.7496
5 Co 0.2371 0.5689 0.5000
6 Co 0.2629 0.0689 0.0000
7 Co 0.3187 0.3187 0.2496
8 Co 0.3187 0.3187 0.7504
9 Co 0.4032 0.5968 0.0000
10 Co 0.4311 0.7629 0.5000
11 Co 0.5689 0.2371 0.5000
12 Co 0.5968 0.4032 0.0000
13 Co 0.6813 0.6813 0.2496
14 Co 0.6813 0.6813 0.7504
15 Co 0.7371 0.9311 0.0000
16 Co 0.7629 0.4311 0.5000
17 Co 0.8187 0.1813 0.2504
18 Co 0.8187 0.1813 0.7496
19 Co 0.9032 0.9032 0.5000
20 Co 0.9311 0.7371 0.0000
21 Ni 0.0000 0.0000 0.0000
22 Ni 0.0374 0.3673 0.5000
23 Ni 0.1327 0.5374 0.0000
24 Ni 0.3673 0.0374 0.5000
25 Ni 0.4626 0.8673 0.0000
26 Ni 0.5000 0.5000 0.5000
27 Ni 0.5374 0.1327 0.0000
28 Ni 0.6327 0.9626 0.5000
29 Ni 0.8673 0.4626 0.0000
30 Ni 0.9626 0.6327 0.5000

Results
For the energy of formation, the calculation gives 0.23 eV per formula unit. The total energy is -195.54 eV/cell.

---

Co2Ni | GGA-PBE | relaxed

a b c (Å): 4.8005 4.8005 3.7519
angles (deg): 90.00 90.00 90.00
Sites, in units of the cell vectors:
1 Co 0.1804 0.1804 0.0000
2 Co 0.3196 0.6804 0.5000
3 Co 0.6804 0.3196 0.5000
4 Co 0.8196 0.8196 0.0000
5 Ni 0.0000 0.0000 0.5000
6 Ni 0.5000 0.5000 0.0000

Results
For the energy of formation, the calculation gives 3.30 eV per formula unit. The total energy is -32.95 eV/cell.

---

Co4Ni9 | GGA-PBE | relaxed

a b c (Å): 8.5224 8.5224 8.5224
angles (deg): 30.99 30.99 30.99
Sites, in units of the cell vectors:
1 Co 0.0455 0.0455 0.0455
2 Co 0.1529 0.1529 0.1529
3 Co 0.8471 0.8471 0.8471
4 Co 0.9545 0.9545 0.9545
5 Ni 0.0849 0.5884 0.5884
6 Ni 0.3334 0.3334 0.3334
7 Ni 0.4116 0.4116 0.9151
8 Ni 0.4116 0.9151 0.4116
9 Ni 0.5000 0.5000 0.5000
10 Ni 0.5884 0.0849 0.5884
11 Ni 0.5884 0.5884 0.0849
12 Ni 0.6666 0.6666 0.6666
13 Ni 0.9151 0.4116 0.4116

Results
The relative energy among the computed polymorphs comes out at 5.3 meV per atom. For the energy of formation, the calculation gives 1.99 eV per formula unit. The total energy is -76.55 eV/cell.

---

Co10Ni3 | GGA-PBE | relaxed

a b c (Å): 8.4869 8.4869 8.4869
angles (deg): 31.15 31.15 31.15
Sites, in units of the cell vectors:
1 Co 0.0472 0.0472 0.0472
2 Co 0.0834 0.5896 0.5896
3 Co 0.1526 0.1526 0.1526
4 Co 0.4104 0.4104 0.9166
5 Co 0.4104 0.9166 0.4104
6 Co 0.5896 0.0834 0.5896
7 Co 0.5896 0.5896 0.0834
8 Co 0.8474 0.8474 0.8474
9 Co 0.9166 0.4104 0.4104
10 Co 0.9528 0.9528 0.9528
11 Ni 0.3342 0.3342 0.3342
12 Ni 0.5000 0.5000 0.5000
13 Ni 0.6658 0.6658 0.6658

Results
The relative energy among the computed polymorphs comes out at 0.0 meV per atom. For the energy of formation, the calculation gives 1.63 eV per formula unit. The total energy is -86.13 eV/cell.